# 1
Here is a relaxed Tb3Cd2Ru crystal from Alexandria via LeMat-Bulk. Energies are from PBE-GGA.

Cell: 5.0698 7.9495 7.6137 Å, 90.00 90.00 71.43°
Fractional positions:
Cd: 0.0000 0.0000 0.0000
Tb: 0.8254 0.3491 0.2205
Cd: 0.6648 0.6690 0.5000
Cd: 0.3352 0.3310 0.5000
Ru: 0.6628 0.6744 0.0000
Tb: 0.1746 0.6509 0.2205
Cd: 0.0000 0.0000 0.5000
Tb: 0.5000 0.0000 0.2304
Ru: 0.3372 0.3256 0.0000
Tb: 0.1746 0.6509 0.7795
Tb: 0.5000 0.0000 0.7696
Tb: 0.8254 0.3491 0.7795

## Properties
ΔH_f (0 K) = -351 meV per atom
N(E_F) = 0.7391 states/eV/atom
M_tot = 0.00 μB per formula unit
space group = No. 65
final energy = -4.52 eV per atom

# 2
Here is a relaxed Tb7Cd2Ru2 crystal from Alexandria via LeMat-Bulk. Energies are from PBE-GGA.

Cell: 3.7837 9.7717 9.7717 Å, 58.23 78.84 78.84°
Fractional positions:
Tb: 0.3642 0.7309 0.5407
Ru: 0.2574 0.3452 0.1400
Tb: 0.8178 0.0831 0.2813
Tb: 0.1511 0.1089 0.5889
Tb: 0.5000 0.0256 0.9744
Cd: 0.0000 0.7519 0.2481
Cd: 0.5000 0.3592 0.6408
Tb: 0.6358 0.4593 0.2691
Tb: 0.1822 0.7187 0.9169
Ru: 0.7426 0.8600 0.6548
Tb: 0.8489 0.4111 0.8911

## Properties
ΔH_f (0 K) = -263 meV per atom
ΔE to the lowest computed polymorph = 0 meV/atom
N(E_F) = 1.1729 states/eV/atom
M_tot = 0.00 μB per formula unit
space group = No. 44
final energy = -5.06 eV per atom

# 3
Here is a relaxed Tb8Cd2Ru crystal from Alexandria via LeMat-Bulk. Energies are from PBE-GGA.

Cell: 5.4035 6.9816 9.1478 Å, 109.61 107.18 90.00°
Fractional positions:
Tb: 0.4064 0.5839 0.8128
Tb: 0.5936 0.4161 0.1872
Tb: 0.0195 0.7850 0.0390
Tb: 0.8045 0.7224 0.6090
Tb: 0.6505 0.9444 0.3010
Cd: 0.1826 0.7006 0.3651
Cd: 0.8174 0.2994 0.6349
Tb: 0.1955 0.2776 0.3910
Ru: 0.5000 0.0000 0.0000
Tb: 0.3495 0.0556 0.6990
Tb: 0.9805 0.2150 0.9610

## Properties
ΔH_f (0 K) = -185 meV per atom
N(E_F) = 0.7490 states/eV/atom
M_tot = 0.00 μB per formula unit
space group = No. 12
final energy = -4.56 eV per atom

# 4
Here is a relaxed TbCdRu crystal from Alexandria via LeMat-Bulk. Energies are from PBE-GGA.

Cell: 4.2785 5.1480 6.7424 Å, 101.56 108.50 90.00°
Fractional positions:
Ru: 0.7755 0.1139 0.5509
Ru: 0.2245 0.8861 0.4491
Tb: 0.8668 0.6684 0.7335
Cd: 0.5706 0.7789 0.1411
Cd: 0.4294 0.2211 0.8589
Tb: 0.1332 0.3316 0.2665

## Properties
ΔH_f (0 K) = -176 meV per atom
N(E_F) = 1.1191 states/eV/atom
M_tot = 0.00 μB per formula unit
space group = No. 12
final energy = -5.12 eV per atom

# 5
Here is a relaxed Tb4CdRu3 crystal from Alexandria via LeMat-Bulk. Energies are from PBE-GGA.

Cell: 4.8959 7.1240 9.7882 Å, 90.00 90.00 90.00°
Fractional positions:
Tb: 0.0000 0.7653 0.2500
Ru: 0.0000 0.0000 0.5000
Ru: 0.5000 0.5000 0.7500
Ru: 0.0000 0.0000 0.0000
Tb: 0.5000 0.2347 0.0000
Cd: 0.0000 0.5000 0.5000
Tb: 0.0000 0.2347 0.7500
Ru: 0.5000 0.5000 0.2500
Tb: 0.5000 0.7653 0.0000
Tb: 0.5000 0.2347 0.5000
Ru: 0.5000 0.0000 0.7500
Cd: 0.0000 0.5000 0.0000
Ru: 0.5000 0.0000 0.2500
Tb: 0.5000 0.7653 0.5000
Tb: 0.0000 0.2347 0.2500
Tb: 0.0000 0.7653 0.7500

## Properties
ΔH_f (0 K) = -322 meV per atom
N(E_F) = 0.3820 states/eV/atom
M_tot = 0.00 μB per formula unit
space group = No. 123
final energy = -6.23 eV per atom

# 6
Here is a relaxed Tb4CdRu2 crystal from Alexandria via LeMat-Bulk. Energies are from PBE-GGA.

Cell: 7.6360 7.6360 7.6360 Å, 109.01 110.40 109.01°
Fractional positions:
Ru: 0.3750 0.8908 0.7658
Ru: 0.8750 0.1092 0.4842
Tb: 0.1486 0.3954 0.4039
Tb: 0.1539 0.8954 0.3986
Tb: 0.5032 0.1046 0.2585
Ru: 0.5158 0.3908 0.6250
Tb: 0.5961 0.7447 0.9915
Cd: 0.7500 0.5000 0.2500
Cd: 0.0000 0.0000 0.0000
Tb: 0.6014 0.7553 0.4968
Tb: 0.7415 0.2447 0.8461
Tb: 0.0085 0.6046 0.7532
Ru: 0.2342 0.6092 0.1250
Tb: 0.2468 0.2553 0.8514

## Properties
ΔH_f (0 K) = -213 meV per atom
N(E_F) = 0.5396 states/eV/atom
M_tot = 0.00 μB per formula unit
space group = No. 122
final energy = -5.64 eV per atom

# 7
Here is a relaxed Tb4Cd3Ru crystal from Alexandria via LeMat-Bulk. Energies are from PBE-GGA.

Cell: 3.4940 3.4940 16.2941 Å, 90.00 90.00 90.00°
Each line ends with the local moment (μB).
Fractional positions:
Tb: 0.0000 0.0000 0.6324  0.15
Cd: 0.5000 0.5000 0.5000  0.01
Tb: 0.0000 0.0000 0.3676  0.15
Tb: 0.0000 0.0000 0.1013  0.00
Cd: 0.5000 0.5000 0.2394  0.00
Tb: 0.0000 0.0000 0.8987  0.00
Ru: 0.5000 0.5000 0.0000  0.00
Cd: 0.5000 0.5000 0.7606  0.00

## Properties
ΔH_f (0 K) = -342 meV per atom
N(E_F) = 0.7957 states/eV/atom
M_tot = 0.44 μB per formula unit
space group = No. 123
final energy = -4.16 eV per atom

# 8
Here is a relaxed Tb6CdRu2 crystal from Alexandria via LeMat-Bulk. Energies are from PBE-GGA.

Cell: 5.0754 5.6527 9.3047 Å, 79.83 90.00 116.68°
Fractional positions:
Tb: 0.9633 0.9267 0.8422
Cd: 0.0000 0.0000 0.5000
Tb: 0.7156 0.4312 0.1594
Tb: 0.3389 0.6778 0.3837
Ru: 0.3880 0.7759 0.0975
Tb: 0.2844 0.5688 0.8406
Ru: 0.6120 0.2241 0.9025
Tb: 0.0367 0.0733 0.1578
Tb: 0.6611 0.3222 0.6163

## Properties
ΔH_f (0 K) = -205 meV per atom
ΔE to the lowest computed polymorph = 107 meV/atom
N(E_F) = 0.9609 states/eV/atom
M_tot = 0.00 μB per formula unit
space group = No. 12
final energy = -5.46 eV per atom

# 9
Here is a relaxed TbCdRu crystal from Alexandria via LeMat-Bulk. Energies are from PBE-GGA.

Cell: 3.4878 3.4878 5.7277 Å, 107.73 107.73 90.00°
Fractional positions:
Tb: 0.9307 0.9307 0.8614
Ru: 0.2829 0.2829 0.5658
Cd: 0.6364 0.6364 0.2728

## Properties
ΔH_f (0 K) = -120 meV per atom
N(E_F) = 0.6698 states/eV/atom
M_tot = 0.00 μB per formula unit
space group = No. 107
final energy = -5.06 eV per atom

# 10
Here is a relaxed Tb5Cd2Ru crystal from Alexandria via LeMat-Bulk. Energies are from PBE-GGA.

Cell: 5.0340 5.9970 15.3827 Å, 90.00 90.00 114.82°
Fractional positions:
Tb: 0.3513 0.7027 0.4526
Tb: 0.5271 0.0543 0.7500
Tb: 0.3513 0.7027 0.0474
Tb: 0.9387 0.8774 0.8876
Cd: 0.2413 0.4825 0.8436
Ru: 0.2112 0.4223 0.2500
Tb: 0.6487 0.2973 0.5474
Tb: 0.9387 0.8774 0.6124
Tb: 0.0613 0.1226 0.1124
Tb: 0.4729 0.9457 0.2500
Cd: 0.7587 0.5175 0.3436
Tb: 0.0613 0.1226 0.3876
Cd: 0.2413 0.4825 0.6564
Tb: 0.6487 0.2973 0.9526
Cd: 0.7587 0.5175 0.1564
Ru: 0.7888 0.5777 0.7500

## Properties
ΔH_f (0 K) = -108 meV per atom
N(E_F) = 1.0248 states/eV/atom
M_tot = 0.00 μB per formula unit
space group = No. 63
final energy = -4.39 eV per atom

# 11
Here is a relaxed Tb5Cd2Ru2 crystal from Alexandria via LeMat-Bulk. Energies are from PBE-GGA.

Cell: 7.6457 7.4400 8.9746 Å, 114.49 90.00 90.00°
Fractional positions:
Cd: 0.0000 0.2194 0.4389
Cd: 0.5000 0.7194 0.4389
Tb: 0.8267 0.7889 0.2347
Ru: 0.6323 0.8718 0.0000
Tb: 0.6733 0.2889 0.2347
Tb: 0.1733 0.4459 0.2347
Tb: 0.1733 0.2111 0.7653
Ru: 0.8677 0.3718 0.0000
Tb: 0.6733 0.0541 0.7653
Cd: 0.5000 0.2806 0.5611
Ru: 0.1323 0.6282 0.0000
Tb: 0.3267 0.7111 0.7653
Tb: 0.8267 0.5541 0.7653
Tb: 0.3267 0.9459 0.2347
Cd: 0.0000 0.7806 0.5611
Ru: 0.3677 0.1282 0.0000
Tb: 0.0000 0.0000 0.0000
Tb: 0.5000 0.5000 0.0000

## Properties
ΔH_f (0 K) = -316 meV per atom
N(E_F) = 0.7808 states/eV/atom
M_tot = 0.00 μB per formula unit
space group = No. 64
final energy = -5.15 eV per atom

# 12
Here is a relaxed Tb8Cd3Ru2 crystal from Alexandria via LeMat-Bulk. Energies are from PBE-GGA.

Cell: 4.9479 8.0624 9.6410 Å, 114.72 91.34 90.00°
Fractional positions:
Cd: 0.5000 0.0000 0.0000
Tb: 0.2496 0.1111 0.6531
Tb: 0.2532 0.5733 0.1465
Tb: 0.7504 0.8889 0.3469
Ru: 0.2379 0.7292 0.4584
Tb: 0.2496 0.5420 0.6531
Cd: 0.0000 0.1860 0.0000
Tb: 0.7468 0.4267 0.8535
Ru: 0.7621 0.2708 0.5416
Tb: 0.7504 0.4580 0.3469
Tb: 0.2356 0.1622 0.3245
Cd: 0.0000 0.8140 0.0000
Tb: 0.7644 0.8378 0.6755

## Properties
ΔH_f (0 K) = -148 meV per atom
N(E_F) = 0.9884 states/eV/atom
M_tot = 0.00 μB per formula unit
space group = No. 12
final energy = -4.64 eV per atom